1.
# Cd2MoIr GGA-PBE relaxed
data_Cd2MoIr
_chemical_formula_sum 'Cd4 Mo2 Ir2'
_cell_length_a 4.0559
_cell_length_b 4.0559
_cell_length_c 8.6448
_cell_angle_alpha 90.00
_cell_angle_beta 90.00
_cell_angle_gamma 90.00
_space_group_name_H-M_alt 'I 4/m m m'
_space_group_IT_number 139
_space_group_name_Hall '-I 4 2'
loop_
_atom_site_label
_atom_site_type_symbol
_atom_site_fract_x
_atom_site_fract_y
_atom_site_fract_z
Cd1 Cd 0.0000 0.5000 0.2500
Mo1 Mo 0.0000 0.0000 0.0000
Ir1 Ir 0.0000 0.0000 0.5000
# polymorph energy (0 for the lowest one): 0.468 eV per atom
# electronic total energy: -39.18 eV for the cell shown
# total magnetization: 4.76 μB/cell
# energy of formation: 1.93 eV per formula unit



2.
# KSn5Au3 GGA-PBE relaxed
data_KSn5Au3
_chemical_formula_sum 'K4 Sn20 Au12'
_cell_length_a 4.4476
_cell_length_b 15.3652
_cell_length_c 14.8155
_cell_angle_alpha 90.00
_cell_angle_beta 90.00
_cell_angle_gamma 90.00
_space_group_name_H-M_alt 'C m c m'
_space_group_IT_number 63
_space_group_name_Hall '-C 2c 2'
loop_
_atom_site_label
_atom_site_type_symbol
_atom_site_fract_x
_atom_site_fract_y
_atom_site_fract_z
K1 K 0.0000 0.1664 0.2500
Sn1 Sn 0.0000 0.0000 0.0000
Sn2 Sn 0.0000 0.1955 0.5742
Sn3 Sn 0.0000 0.4647 0.1473
Au1 Au 0.0000 0.1262 0.7500
Au2 Au 0.0000 0.3728 0.5365
# electronic total energy: -129.41 eV for the cell shown
# total magnetization: 0.00 μB/cell
# energy of formation: -1.41 eV per formula unit



3.
# Mn2BePd8 GGA-PBE relaxed
data_Mn2BePd8
_chemical_formula_sum 'Mn4 Be2 Pd16'
_cell_length_a 13.9919
_cell_length_b 4.4269
_cell_length_c 5.6936
_cell_angle_alpha 90.00
_cell_angle_beta 111.71
_cell_angle_gamma 90.00
_space_group_name_H-M_alt 'C 1 2/m 1'
_space_group_IT_number 12
_space_group_name_Hall '-C 2y'
loop_
_atom_site_label
_atom_site_type_symbol
_atom_site_fract_x
_atom_site_fract_y
_atom_site_fract_z
Mn1 Mn 0.1911 0.0000 0.1823
Be1 Be 0.0000 0.5000 0.5000
Pd1 Pd 0.0100 0.0000 0.2534
Pd2 Pd 0.1183 0.5000 0.9011
Pd3 Pd 0.1396 0.5000 0.3989
Pd4 Pd 0.1819 0.0000 0.7042
# electronic total energy: -131.70 eV for the cell shown
# total magnetization: 18.83 μB/cell
# energy of formation: -2.24 eV per formula unit



4.
# AcPmCuAs GGA-PBE relaxed
data_AcPmCuAs
_chemical_formula_sum 'Ac4 Pm4 Cu4 As4'
_cell_length_a 7.4430
_cell_length_b 7.4430
_cell_length_c 7.4430
_cell_angle_alpha 90.00
_cell_angle_beta 90.00
_cell_angle_gamma 90.00
_space_group_name_H-M_alt 'F -4 3 m'
_space_group_IT_number 216
_space_group_name_Hall 'F -4 2 3'
loop_
_atom_site_label
_atom_site_type_symbol
_atom_site_fract_x
_atom_site_fract_y
_atom_site_fract_z
Ac1 Ac 0.0000 0.0000 0.0000
Pm1 Pm 0.0000 0.0000 0.5000
Cu1 Cu 0.2500 0.2500 0.2500
As1 As 0.2500 0.2500 0.7500
# electronic total energy: -79.07 eV for the cell shown
# total magnetization: 0.00 μB/cell
# energy of formation: -2.16 eV per formula unit